#one
# BeAl2In

A crystal of BeAl2In relaxed with PBEsol (meta-GGA SCAN, Alexandria).

Total magnetization ... 0.0000 μB/atom
Theoretical density ... 4.47 Mg/m³

Cell: 2.9149 2.9149 7.7742 Å, 90.00 90.00 90.00°
With the nearest neighbours (Å) after each atom.
Fractional positions:
Al (0.0000, 0.0000, 0.1926)  4 Be 2.55
Al (0.0000, 0.0000, 0.8074)  4 Be 2.55
Be (0.5000, 0.5000, 0.0000)  8 Al 2.55
In (0.5000, 0.5000, 0.5000)  4 In 2.91, 8 Al 3.16

***

#two
# BeAl2In

A crystal of BeAl2In relaxed with PBEsol (meta-GGA SCAN, Alexandria).

Total magnetization ... 0.0053 μB/atom
Theoretical density ... 4.37 Mg/m³

Cell: 2.8030 3.7128 6.4865 Å, 90.00 90.00 90.00°
With the nearest neighbours (Å) after each atom.
Fractional positions:
Al (0.0000, 0.0000, 0.0436)  1 Be 2.61, 6 Al 2.80
Al (0.5000, 0.5000, 0.2826)  4 Be 2.56, 6 Al 2.80
In (0.5000, 0.5000, 0.7277)  2 In 2.80, 5 Al 2.89-3.10, 4 Be 2.96
Be (0.0000, 0.0000, 0.4460)  5 Al 2.56-2.61, 2 Be 2.80

***

#three
# BeAl2In

A crystal of BeAl2In relaxed with PBEsol (meta-GGA SCAN, Alexandria).

Total magnetization ... 0.0000 μB/atom
Theoretical density ... 4.08 Mg/m³

Cell: 4.0248 3.9851 4.7641 Å, 108.54 90.00 90.00°
With the nearest neighbours (Å) after each atom.
Fractional positions:
Al (0.0000, 0.1553, 0.2932)  2 Be 2.41, 2 Al 2.64-2.67
Al (0.0000, 0.8447, 0.7068)  2 Be 2.41, 2 Al 2.64-2.67
In (0.5000, 0.5000, 0.0000)  2 Be 2.57
Be (0.5000, 0.0000, 0.5000)  4 Al 2.41, 2 In 2.57

***

Bottom line: #one, by a margin of 5.6 kJ/mol of atoms.

***

#one
# BeAlIr2

A crystal of BeAlIr2 relaxed with PBEsol (meta-GGA SCAN, Alexandria).

Total magnetization ... 0.0000 μB/atom
Theoretical density ... 13.69 Mg/m³

Cell: 2.8150 4.2621 4.7104 Å, 106.12 90.00 109.28°
With the nearest neighbours (Å) after each atom.
Fractional positions:
Al (0.0000, 0.0000, 0.5000)  6 Ir 2.56-2.57, 4 Be 2.74, 2 Al 2.82
Ir (0.2334, 0.4668, 0.2289)  2 Be 2.34, 3 Al 2.56-2.57
Ir (0.7666, 0.5332, 0.7711)  2 Be 2.34, 3 Al 2.56-2.57
Be (0.5000, 0.0000, 0.0000)  4 Ir 2.34

***

#two
# BeAlIr2

A crystal of BeAlIr2 relaxed with PBEsol (meta-GGA SCAN, Alexandria).

Total magnetization ... 0.0000 μB/atom
Theoretical density ... 13.76 Mg/m³

Cell: 2.7881 2.7881 7.7042 Å, 79.58 79.58 60.00°
With the nearest neighbours (Å) after each atom.
Fractional positions:
Be (0.0000, 0.0000, 0.0000)  6 Ir 2.38
Ir (0.7445, 0.7445, 0.7665)  3 Be 2.38, 3 Al 2.57
Ir (0.2555, 0.2555, 0.2335)  3 Be 2.38, 3 Al 2.57
Al (0.5000, 0.5000, 0.5000)  6 Ir 2.57, 6 Al 2.79

***

#three
# BeAlIr2

A crystal of BeAlIr2 relaxed with PBEsol (meta-GGA SCAN, Alexandria).

Total magnetization ... 0.0000 μB/atom
Theoretical density ... 14.35 Mg/m³

Cell: 4.0975 4.0975 4.0975 Å, 60.00 60.00 60.00°
With the nearest neighbours (Å) after each atom.
Fractional positions:
Ir (0.7500, 0.7500, 0.7500)  4 Be 2.51, 4 Al 2.51
Ir (0.2500, 0.2500, 0.2500)  4 Be 2.51, 4 Al 2.51
Be (0.0000, 0.0000, 0.0000)  8 Ir 2.51
Al (0.5000, 0.5000, 0.5000)  8 Ir 2.51

***

Bottom line: #three, by a margin of 35.8 kJ/mol of atoms.

***

#one
# Mg2BeAl

A crystal of Mg2BeAl relaxed with PBEsol (meta-GGA SCAN, Alexandria).

Total magnetization ... 0.0039 μB/atom
Theoretical density ... 2.06 Mg/m³

Cell: 2.9097 4.9900 4.9900 Å, 109.85 90.00 90.00°
With the nearest neighbours (Å) after each atom.
Fractional positions:
Mg (0.0000, 0.0000, 0.5000)  4 Mg 2.87-2.91, 4 Be 2.89, 4 Al 2.89
Mg (0.0000, 0.5000, 0.0000)  4 Mg 2.87-2.91, 4 Al 2.89, 4 Be 2.89
Be (0.5000, 0.5000, 0.5000)  2 Al 2.87, 8 Mg 2.89, 2 Be 2.91
Al (0.5000, 0.0000, 0.0000)  2 Be 2.87, 8 Mg 2.89, 2 Al 2.91

***

#two
# Mg2BeAl

A crystal of Mg2BeAl relaxed with PBEsol (meta-GGA SCAN, Alexandria).

Total magnetization ... 0.0038 μB/atom
Theoretical density ... 2.03 Mg/m³

Cell: 2.9026 4.6502 5.8199 Å, 113.55 104.44 90.00°
With the nearest neighbours (Å) after each atom.
Fractional positions:
Al (0.5459, 0.5459, 0.0918)  2 Be 2.46
Mg (0.9597, 0.9597, 0.9193)  2 Be 2.69, 4 Al 2.88, 2 Mg 2.90
Mg (0.7553, 0.2553, 0.5105)  4 Be 2.75, 2 Mg 2.90
Be (0.2392, 0.7392, 0.4784)  2 Al 2.46, 6 Mg 2.69-2.75

***

Bottom line: #two, by a margin of 2.3 kJ/mol of atoms.

***

#one
# MgBeAl2

A crystal of MgBeAl2 relaxed with PBEsol (meta-GGA SCAN, Alexandria).

Total magnetization ... 0.0002 μB/atom
Theoretical density ... 2.33 Mg/m³

Cell: 3.9314 3.9314 4.0330 Å, 90.00 90.00 90.00°
With the nearest neighbours (Å) after each atom.
Fractional positions:
Be (0.5000, 0.5000, 0.5000)  4 Mg 2.78, 8 Al 2.82
Al (0.5000, 0.0000, 0.0000)  4 Al 2.78, 4 Be 2.82, 4 Mg 2.82
Al (0.0000, 0.5000, 0.0000)  4 Al 2.78, 4 Be 2.82, 4 Mg 2.82
Mg (0.0000, 0.0000, 0.5000)  4 Be 2.78, 8 Al 2.82

***

#two
# MgBeAl2

A crystal of MgBeAl2 relaxed with PBEsol (meta-GGA SCAN, Alexandria).

Total magnetization ... 0.0000 μB/atom
Theoretical density ... 2.29 Mg/m³

Cell: 2.8670 4.7476 4.9839 Å, 101.23 90.00 107.57°
With the nearest neighbours (Å) after each atom.
Fractional positions:
Al (0.9948, 0.9896, 0.9771)  5 Al 2.70-2.87, 2 Be 2.72, 3 Mg 2.79-2.91
Al (0.2382, 0.4763, 0.7402)  3 Be 2.59-2.87, 5 Al 2.70-2.87, 2 Mg 2.81
Mg (0.7599, 0.5198, 0.2640)  3 Be 2.74-2.83, 7 Al 2.79-2.95, 2 Mg 2.87
Be (0.5071, 0.0142, 0.5186)  5 Al 2.59-2.87, 3 Mg 2.74-2.83, 2 Be 2.87

***

#three
# MgBeAl2

A crystal of MgBeAl2 relaxed with PBEsol (meta-GGA SCAN, Alexandria).

Total magnetization ... 0.0206 μB/atom
Theoretical density ... 2.31 Mg/m³

Cell: 4.4590 4.4590 4.4590 Å, 60.00 60.00 60.00°
With the nearest neighbours (Å) after each atom.
Fractional positions:
Mg (0.2500, 0.2500, 0.2500)  4 Be 2.73, 4 Al 2.73
Al (0.0000, 0.0000, 0.0000)  4 Mg 2.73, 4 Al 2.73
Al (0.7500, 0.7500, 0.7500)  4 Be 2.73, 4 Al 2.73
Be (0.5000, 0.5000, 0.5000)  4 Al 2.73, 4 Mg 2.73

***

Bottom line: #one, by a margin of 2.2 kJ/mol of atoms.